Computed, not measured: a geometry-optimized BaSn2Bi structure at the PBE level of DFT.

Lattice parameters (Å, degrees): 7.1319 10.3861 7.0631 90.00 90.00 90.00
Last column: nearest neighbours and their distance in Å.
Positions (direct):
Bi1 0.7500 0.5001 0.7502  8 Sn 3.47-3.76, 4 Ba 3.53-3.57
Bi2 0.2500 0.9999 0.2502  8 Sn 3.47-3.76, 4 Ba 3.53-3.57
Bi3 0.7500 0.0001 0.7498  8 Sn 3.47-3.76, 4 Ba 3.53-3.57
Bi4 0.2500 0.4999 0.2498  8 Sn 3.47-3.76, 4 Ba 3.53-3.57
Sn1 0.5198 0.2500 0.9782  3 Sn 3.28-3.54, 2 Bi 3.47, 4 Ba 3.61-3.62
Sn2 0.4802 0.2500 0.4782  3 Sn 3.28-3.54, 2 Bi 3.47, 4 Ba 3.61-3.62
Sn3 0.0198 0.7500 0.0218  3 Sn 3.28-3.54, 2 Bi 3.47, 4 Ba 3.61-3.62
Sn4 0.0198 0.2500 0.4782  3 Sn 3.28-3.54, 2 Bi 3.47, 4 Ba 3.61-3.62
Sn5 0.5198 0.7500 0.5218  3 Sn 3.28-3.54, 2 Bi 3.47, 4 Ba 3.61-3.62
Sn6 0.9802 0.7500 0.5218  3 Sn 3.28-3.54, 2 Bi 3.47, 4 Ba 3.61-3.62
Sn7 0.9802 0.2500 0.9782  3 Sn 3.28-3.54, 2 Bi 3.47, 4 Ba 3.61-3.62
Sn8 0.4802 0.7500 0.0218  3 Sn 3.28-3.54, 2 Bi 3.47, 4 Ba 3.61-3.62
Ba1 0.7500 0.5000 0.2501  4 Bi 3.53-3.57, 8 Sn 3.61-3.62
Ba2 0.7500 0.0000 0.2499  4 Bi 3.53-3.57, 8 Sn 3.61-3.62
Ba3 0.2500 0.0000 0.7501  4 Bi 3.53-3.57, 8 Sn 3.61-3.62
Ba4 0.2500 0.5000 0.7499  4 Bi 3.53-3.57, 8 Sn 3.61-3.62

Space group: Cmcm (63)
ΔH_f (0 K): -0.40 eV/atom
VASP energy: -3.8489 eV per atom

Computed, not measured: a geometry-optimized InSb2Os structure at the PBE level of DFT.

Lattice parameters (Å, degrees): 5.2678 5.2678 6.3964 70.19 70.19 35.98
Last column: nearest neighbours and their distance in Å.
Positions (direct):
In1 0.5686 0.5686 0.3691  3 Os 2.73-2.80
Sb1 0.9134 0.9134 0.0194  2 Os 2.71
Sb2 0.7230 0.7230 0.7356  2 Os 2.70
Os1 0.2950 0.2950 0.3759  4 Sb 2.70-2.71, 3 In 2.73-2.80

Space group: Cm (8)
VASP energy: -5.3608 eV per atom

Computed, not measured: a geometry-optimized NaVIn3 structure at the PBE level of DFT.

Lattice parameters (Å, degrees): 5.2421 5.2421 5.2421 90.00 90.00 90.00
Last column: nearest neighbours and their distance in Å.
Positions (direct):
In1 0.5000 0.0000 0.0000  2 V 2.62
In2 0.0000 0.0000 0.5000  2 V 2.62
In3 0.0000 0.5000 0.0000  2 V 2.62
V1 0.0000 0.0000 0.0000  6 In 2.62
Na1 0.5000 0.5000 0.5000  12 In 3.71

Space group: Pm-3m (221)
ΔH_f (0 K): 0.29 eV/atom
VASP energy: -3.4407 eV per atom
Energy above the most stable polymorph in this dataset: 0 meV/atom